<a>
Entry from the Alexandria database: a relaxed ZrPSe2Br crystal (PBE).

Cell: 4.9073 4.9073 4.7702 Å, 90.00 90.00 90.00°
Last column: magnetic moment on the atom in μB.
Atoms (fractional coordinates):
1 P 0.0000 0.0000 0.0000  -0.02
2 Se 0.5000 0.0000 0.0000  -0.08
3 Se 0.0000 0.5000 0.0000  -0.08
4 Zr 0.5000 0.5000 0.5000  1.00
5 Br 0.0000 0.0000 0.5000  -0.03

Summary:
The total magnetization is 1.2 μB/cell. For the density of states at the Fermi level, the calculation gives 4.55 states/eV/cell.

---

<b>
Entry from the Alexandria database: a relaxed ZrPSe2Br crystal (PBE).

Cell: 5.2418 5.2418 5.3680 Å, 90.00 90.00 90.00°
Last column: magnetic moment on the atom in μB.
Atoms (fractional coordinates):
1 Se 0.5000 0.0000 0.0000  -0.13
2 Se 0.0000 0.5000 0.0000  -0.13
3 Br 0.0000 0.0000 0.5000  0.03
4 P 0.5000 0.5000 0.5000  1.01
5 Zr 0.0000 0.0000 0.0000  0.13

Summary:
The total magnetization is 2.1 μB/cell. For the density of states at the Fermi level, the calculation gives 2.78 states/eV/cell.

---

Stability, descending: <b>, <a>

---

<a>
Entry from the Alexandria database: a relaxed SiPBr crystal (PBE).

Cell: 4.6991 4.8771 8.0835 Å, 80.20 83.75 84.33°
Atoms (fractional coordinates):
1 P 0.3230 0.9260 0.5955
2 P 0.6770 0.0740 0.4045
3 Si 0.0462 0.7306 0.4362
4 Si 0.9538 0.2694 0.5638
5 Br 0.2447 0.6962 0.1733
6 Br 0.7553 0.3038 0.8267

Summary:
The total magnetization is 0.0 μB/cell.

---

<b>
Entry from the Alexandria database: a relaxed SiPBr crystal (PBE).

Cell: 7.3388 7.3388 7.3388 Å, 154.22 154.22 36.79°
Atoms (fractional coordinates):
1 Br 0.9598 0.9598 0.0000
2 P 0.2417 0.2417 0.0000
3 Si 0.7985 0.7985 0.0000

Summary:
The total magnetization is 0.0 μB/cell. For the density of states at the Fermi level, the calculation gives 2.30 states/eV/cell.

---

<c>
Entry from the Alexandria database: a relaxed SiPBr crystal (PBE).

Cell: 3.6109 3.6116 7.3308 Å, 98.74 92.31 119.99°
Atoms (fractional coordinates):
1 Br 0.6385 0.3410 0.4323
2 P 0.1122 0.2138 0.8767
3 Si 0.7365 0.4843 0.7418

Summary:
The total magnetization is 0.0 μB/cell. For the density of states at the Fermi level, the calculation gives 0.00 states/eV/cell.

---

Stability, descending: <c>, <a>, <b>

---

<a>
Entry from the Alexandria database: a relaxed SiPBr crystal (PBE).

Cell: 3.5687 8.1511 5.9575 Å, 90.00 90.00 90.00°
Atoms (fractional coordinates):
1 Si 0.5000 0.5679 0.1525
2 Si 0.0000 0.4321 0.6525
3 P 0.5000 0.5830 0.5367
4 P 0.0000 0.4170 0.0367
5 Br 0.5000 0.8347 0.0589
6 Br 0.0000 0.1653 0.5589

Summary:
The total magnetization is 0.0 μB/cell. For the density of states at the Fermi level, the calculation gives 0.00 states/eV/cell.

---

<b>
Entry from the Alexandria database: a relaxed SiPBr crystal (PBE).

Cell: 5.9794 6.3789 8.9216 Å, 90.00 90.00 90.00°
Atoms (fractional coordinates):
1 Br 0.6063 0.5329 0.3244
2 Br 0.1063 0.9671 0.3244
3 Br 0.1063 0.4671 0.6756
4 Br 0.6063 0.0329 0.6756
5 Si 0.0019 0.0917 0.0990
6 Si 0.0019 0.5917 0.9010
7 Si 0.5019 0.4083 0.0990
8 Si 0.5019 0.9083 0.9010
9 P 0.1207 0.9286 0.8890
10 P 0.6207 0.0714 0.1110
11 P 0.1207 0.4286 0.1110
12 P 0.6207 0.5714 0.8890

Summary:
The total magnetization is 0.0 μB/cell. For the density of states at the Fermi level, the calculation gives 0.00 states/eV/cell.

---

<c>
Entry from the Alexandria database: a relaxed SiPBr crystal (PBE).

Cell: 7.9384 7.4654 3.6096 Å, 83.88 69.24 26.88°
Atoms (fractional coordinates):
1 Si 0.6802 0.6802 0.3198
2 P 0.2785 0.2785 0.7215
3 Br 0.0413 0.0413 0.9587

Summary:
The total magnetization is 0.0 μB/cell. For the density of states at the Fermi level, the calculation gives 2.10 states/eV/cell.

---

Stability, descending: <b>, <a>, <c>

---

<a>
Entry from the Alexandria database: a relaxed SiPBr crystal (PBE).

Cell: 4.4875 4.4875 4.4875 Å, 60.00 60.00 60.00°
Atoms (fractional coordinates):
1 Si 0.7500 0.7500 0.7500
2 Br 0.0000 0.0000 0.0000
3 P 0.5000 0.5000 0.5000

Summary:
The total magnetization is 0.0 μB/cell. For the density of states at the Fermi level, the calculation gives 1.68 states/eV/cell.

---

<b>
Entry from the Alexandria database: a relaxed SiPBr crystal (PBE).

Cell: 3.5175 3.5175 6.9596 Å, 90.00 90.00 120.00°
Atoms (fractional coordinates):
1 P 0.6667 0.3333 0.4754
2 Br 0.0000 0.0000 0.8991
3 Si 0.3333 0.6667 0.6256

Summary:
The total magnetization is 0.0 μB/cell.

---

<c>
Entry from the Alexandria database: a relaxed SiPBr crystal (PBE).

Cell: 3.6186 5.3350 8.5481 Å, 90.00 90.86 90.00°
Atoms (fractional coordinates):
1 Si 0.2463 0.6025 0.4015
2 Si 0.7537 0.1025 0.5985
3 Br 0.7613 0.3025 0.8297
4 Br 0.2387 0.8025 0.1703
5 P 0.2544 0.8431 0.6195
6 P 0.7456 0.3431 0.3805

Summary:
The total magnetization is 0.0 μB/cell. For the density of states at the Fermi level, the calculation gives 0.00 states/eV/cell.

---

Stability, descending: <c>, <b>, <a>

---

<a>
Entry from the Alexandria database: a relaxed SiP3Br crystal (PBE).

Cell: 4.8146 4.8146 4.8146 Å, 90.00 90.00 90.00°
Atoms (fractional coordinates):
1 P 0.5000 0.0000 0.0000
2 P 0.0000 0.5000 0.0000
3 P 0.0000 0.0000 0.5000
4 Br 0.0000 0.0000 0.0000
5 Si 0.5000 0.5000 0.5000

Summary:
The total magnetization is 0.0 μB/cell. For the density of states at the Fermi level, the calculation gives 3.37 states/eV/cell.

---

<b>
Entry from the Alexandria database: a relaxed SiP3Br crystal (PBE).

Cell: 4.6009 4.6009 4.6009 Å, 90.00 90.00 90.00°
Atoms (fractional coordinates):
1 P 0.5000 0.0000 0.0000
2 P 0.0000 0.0000 0.5000
3 P 0.0000 0.5000 0.0000
4 Si 0.0000 0.0000 0.0000
5 Br 0.5000 0.5000 0.5000

Summary:
The total magnetization is 0.0 μB/cell. For the density of states at the Fermi level, the calculation gives 3.38 states/eV/cell.

---

Stability, descending: <b>, <a>

---

<a>
Entry from the Alexandria database: a relaxed SiP2Br crystal (PBE).

Cell: 6.6144 6.6144 2.6914 Å, 90.00 90.00 137.54°
Atoms (fractional coordinates):
1 P 0.0000 0.0000 0.0000
2 P 0.5000 0.5000 0.0000
3 Br 0.0000 0.5000 0.5000
4 Si 0.5000 0.0000 0.5000

Summary:
The total magnetization is 0.0 μB/cell. For the density of states at the Fermi level, the calculation gives 1.89 states/eV/cell.

---

<b>
Entry from the Alexandria database: a relaxed SiP2Br crystal (PBE).

Cell: 4.6221 4.6221 4.6221 Å, 60.00 60.00 60.00°
Atoms (fractional coordinates):
1 Br 0.5000 0.5000 0.5000
2 Si 0.2500 0.2500 0.2500
3 P 0.7500 0.7500 0.7500
4 P 0.0000 0.0000 0.0000

Summary:
The total magnetization is 0.0 μB/cell. For the density of states at the Fermi level, the calculation gives 2.81 states/eV/cell.

---

Stability, descending: <a>, <b>